Record 1
Material: Ca2BIr2
Method: DFT, PBE-GGA
State: optimized geometry

Cell and atoms, written as extended XYZ:
```
5
Lattice="3.2594 0.0000 0.0000 0.0000 6.0518 0.0000 -1.6297 -3.0259 4.6293" Properties=species:S:1:pos:R:3 pbc="T T T"
Ir 1.6297 1.3782 0.0000
Ir 1.6297 4.6736 0.0000
Ca 1.6297 0.0000 2.7359
Ca 0.0000 3.0259 1.8935
B 0.0000 0.0000 0.0000
```

space-group type = Immm


Record 2
Material: Li2CaBIr
Method: DFT, PBE-GGA
State: optimized geometry

Cell and atoms, written as extended XYZ:
```
5
Lattice="4.3572 0.0000 0.0000 0.0000 4.1421 0.0000 0.0000 0.0000 4.3572" Properties=species:S:1:pos:R:3 pbc="T T T"
Li 0.0000 0.0000 2.1786
Li 2.1786 0.0000 0.0000
B 0.0000 0.0000 0.0000
Ir 0.0000 2.0710 0.0000
Ca 2.1786 2.0710 2.1786
```

space-group type = P4/mmm


Record 3
Material: Ca2MgB2Ir5
Method: DFT, PBE-GGA
State: optimized geometry

Cell and atoms, written as extended XYZ:
```
20
Lattice="-0.5366 -2.4730 1.6177 -4.9148 -3.9459 -7.6623 8.4344 -4.0161 -3.3419" Properties=species:S:1:pos:R:3 pbc="T T T"
Ir 3.0583 -6.3918 -5.9687
Ir -0.0753 -4.0432 -3.4178
Ir -2.7257 -3.2095 -3.0223
Ir -2.9466 -5.8191 -7.0849
Ir -0.1912 -5.8335 -6.1931
Ir 5.9296 -4.6160 -2.3016
Ir 3.7848 -8.0352 -8.2401
Ir 3.9489 -3.2446 -0.8621
Ir 3.1742 -4.6015 -3.1934
Ir -0.8018 -2.3998 -1.1464
Ca 5.3487 -4.5678 -5.2087
Ca 1.6853 -5.9665 -8.5620
Ca -1.8292 -3.3942 -5.7955
Ca 1.8343 -1.9955 -2.4422
Mg 0.0000 0.0000 0.0000
Mg 1.7598 -3.9810 -5.5021
B 4.3355 -5.9804 -7.7043
B 4.6500 -2.9871 -3.0241
B -1.1304 -4.9749 -7.9801
B -0.8159 -1.9816 -3.2999
```

space-group type = P4/mbm


Record 4
Material: CaNi2BIr
Method: DFT, PBE-GGA
State: optimized geometry

Cell and atoms, written as extended XYZ:
```
5
Lattice="4.0614 0.0000 0.0000 0.0000 4.0614 0.0000 0.0000 0.0000 4.1276" Properties=species:S:1:pos:R:3 pbc="T T T"
B 0.0000 0.0000 0.0000
Ni 2.0307 0.0000 0.0000
Ni 0.0000 2.0307 0.0000
Ir 0.0000 0.0000 2.0638
Ca 2.0307 2.0307 2.0638
```

space-group type = P4/mmm


Record 5
Material: CaNiB2Ir
Method: DFT, PBE-GGA
State: optimized geometry

Cell and atoms, written as extended XYZ:
```
5
Lattice="3.6808 0.0000 0.0000 0.0000 3.6808 0.0000 -1.8404 -1.8404 5.0537" Properties=species:S:1:pos:R:3 pbc="T T T"
Ir 1.8404 0.0000 2.5269
B 0.0000 0.0000 3.5252
B 1.8404 1.8404 1.5285
Ca 0.0000 0.0000 0.0000
Ni 0.0000 1.8404 2.5269
```

space-group type = I-4m2


Record 6
Material: CaNiBIr2
Method: DFT, PBE-GGA
State: optimized geometry

Cell and atoms, written as extended XYZ:
```
5
Lattice="-1.9473 2.0689 -3.0877 -3.5553 -0.0205 2.2284 1.0555 3.5556 1.7168" Properties=species:S:1:pos:R:3 pbc="T T T"
B 0.0000 0.0000 0.0000
Ca -2.2235 2.8020 0.4287
Ir -0.9736 1.0345 -1.5439
Ir -1.7776 -0.0103 1.1142
Ni 0.5278 1.7778 0.8584
```

space-group type = P4/mmm


no.,N(E_F) (states/eV/cell),DFT formation energy (eV/atom)
1,1.4,-0.436
2,2.1,-0.197
3,11.3,-0.434
4,0.7,-0.308
5,1.8,-0.432
6,3.9,-0.298